(1)
A plane-wave DFT calculation with PBE was carried out for an optimized crystal structure of SnPt4Au.

Cell lengths 4.885, 5.842, 7.063 Å; angles 90.00, 92.80, 90.00 degrees
Sites, in units of the cell vectors:
Sn 0.189 0.250 0.330
Sn 0.811 0.750 0.670
Pt 0.000 0.000 0.000
Pt 0.000 0.500 0.000
Pt 0.313 0.000 0.666
Pt 0.313 0.500 0.666
Pt 0.495 0.250 0.004
Pt 0.505 0.750 0.996
Pt 0.687 0.000 0.334
Pt 0.687 0.500 0.334
Au 0.187 0.750 0.326
Au 0.813 0.250 0.674

Formation energy from the elements, eV per atom: -0.192
D(E_F), states/eV/atom: 0.39

=====

(2)
A plane-wave DFT calculation with PBE was carried out for an optimized crystal structure of LiSb2Cl.

Cell lengths 5.181, 5.181, 5.181 Å; angles 60.00, 60.00, 60.00 degrees
Sites, in units of the cell vectors:
Li 0.000 0.000 0.000
Sb 0.500 0.500 0.500
Sb 0.750 0.750 0.750
Cl 0.250 0.250 0.250

Polymorph energy (0 for the lowest one), eV per atom: 0.519
D(E_F), states/eV/atom: 0.41
Formation energy (no corrections), meV/atom: -297

=====

(3)
A plane-wave DFT calculation with PBE was carried out for an optimized crystal structure of Ca3SnSb2Pd9.

Cell lengths 6.816, 6.816, 9.241 Å; angles 90.00, 90.00, 120.00 degrees
Sites, in units of the cell vectors:
Ca 0.000 0.000 0.000
Ca 0.333 0.667 0.742
Ca 0.667 0.333 0.258
Sn 0.000 0.000 0.500
Sb 0.333 0.667 0.189
Sb 0.667 0.333 0.811
Pd 0.000 0.500 0.000
Pd 0.132 0.265 0.271
Pd 0.132 0.868 0.271
Pd 0.265 0.132 0.729
Pd 0.500 0.000 0.000
Pd 0.500 0.500 0.000
Pd 0.735 0.868 0.271
Pd 0.868 0.132 0.729
Pd 0.868 0.735 0.729

D(E_F), states/eV/atom: 0.33
Formation energy (no corrections), meV/atom: -446

=====

(4)
A plane-wave DFT calculation with PBE was carried out for an optimized crystal structure of CaMgSi.

Cell lengths 7.468, 4.438, 8.300 Å; angles 90.00, 90.00, 90.00 degrees
Sites, in units of the cell vectors:
Ca 0.019 0.250 0.181
Ca 0.481 0.750 0.681
Ca 0.519 0.250 0.319
Ca 0.981 0.750 0.819
Mg 0.144 0.250 0.563
Mg 0.356 0.750 0.063
Mg 0.644 0.250 0.937
Mg 0.856 0.750 0.437
Si 0.230 0.750 0.384
Si 0.270 0.250 0.884
Si 0.730 0.750 0.116
Si 0.770 0.250 0.616

D(E_F), states/eV/atom: 0.05
Formation energy (no corrections), meV/atom: -441

=====

(5)
A plane-wave DFT calculation with PBE was carried out for an optimized crystal structure of La2Cu.

Cell lengths 7.797, 7.797, 4.898 Å; angles 90.00, 90.00, 120.00 degrees
Sites, in units of the cell vectors:
La 0.000 0.277 0.000
La 0.000 0.606 0.500
La 0.277 0.000 0.000
La 0.394 0.394 0.500
La 0.606 0.000 0.500
La 0.723 0.723 0.000
Cu 0.000 0.000 0.500
Cu 0.333 0.667 0.000
Cu 0.667 0.333 0.000

Formation energy from the elements, eV per atom: -0.072
D(E_F), states/eV/atom: 1.16

=====

(6)
A plane-wave DFT calculation with PBE was carried out for an optimized crystal structure of TaSBrCl2.

Cell lengths 4.870, 4.870, 4.797 Å; angles 90.00, 90.00, 90.00 degrees
Sites, in units of the cell vectors:
Ta 0.000 0.000 0.000
S 0.000 0.000 0.500
Br 0.500 0.500 0.500
Cl 0.000 0.500 0.000
Cl 0.500 0.000 0.000

Polymorph energy (0 for the lowest one), eV per atom: 0.000
D(E_F), states/eV/atom: 1.20
Formation energy (no corrections), meV/atom: -469